TlNiF3: relaxed, PBE+U.

extended XYZ file:
```
10
Lattice="-6.882 2.204 -2.408 5.163 -5.577 -0.511 -2.324 -2.547 4.312" Properties=species:S:1:pos:R:3 pbc="T T T"
Tl -6.703 -0.948 1.129
Tl 2.659 -4.972 0.264
F 0.000 0.000 0.000
F -5.126 -3.126 0.693
F 0.193 -4.538 -0.809
F -4.236 -1.382 2.202
F 1.082 -2.794 0.701
F -1.162 -1.273 2.156
Ni -3.569 -2.972 1.623
Ni -0.474 -2.948 -0.229
```

Values from the calculation:
- Space group: Cmcm (63)
- Spin magnetization: 2.00 μB/f.u.
- E: -33.66 eV/cell
- Excess energy over the best structure of this formula in the dataset: 74.0 kJ per mole of atoms